Compound: TbHfNiPd
Source: Alexandria
Functional: GGA-PBE
Structure: optimized geometry

```
4
Lattice="0.000 3.359 3.359 3.359 0.000 3.359 3.359 3.359 0.000" Properties=species:S:1:pos:R:3 pbc="T T T"
Tb 0.000 0.000 0.000
Hf 3.359 3.359 3.359
Ni 5.039 5.039 5.039
Pd 1.680 1.680 1.680
```

Output
Symmetry: F-43m
DOS at the Fermi energy: 3.52 states/eV/cell
Calculated volume: 75.8 Å³/cell
Energy of formation from the pure elements: -0.475 eV per atom
Total magnetization: 0.000 μB per atom

=====

Compound: ThI2Br
Source: Alexandria
Functional: GGA-PBE
Structure: optimized geometry

```
4
Lattice="5.583 -1.928 0.000 5.583 1.928 0.000 -3.235 0.000 8.543" Properties=species:S:1:pos:R:3 pbc="T T T"
Th 0.000 0.000 0.000
I 1.659 0.000 6.148
I 4.896 0.000 2.395
Br 4.707 0.000 8.542
```

Output
Symmetry: Cm
DOS at the Fermi energy: 1.37 states/eV/cell
Calculated volume: 183.9 Å³/cell
Uncorrected formation energy: -1.26 eV per atom
Total magnetization: 0.000 μB per atom

=====

Compound: LiCeSm2
Source: Alexandria
Functional: GGA-PBE
Structure: optimized geometry

```
4
Lattice="0.000 3.872 3.872 3.872 0.000 3.872 3.872 3.872 0.000" Properties=species:S:1:pos:R:3 pbc="T T T"
Li 0.000 0.000 0.000
Ce 3.872 3.872 3.872
Sm 1.936 1.936 1.936
Sm 5.808 5.808 5.808
```

Output
Excess energy over the best structure of this formula in the dataset: 0.193 eV/atom
Symmetry: Fm-3m
DOS at the Fermi energy: 9.88 states/eV/cell
Calculated volume: 116.1 Å³/cell
Energy of formation from the pure elements: 0.284 eV per atom
Total magnetization: 0.609 μB per atom

=====

Compound: ZnRhO3
Source: Alexandria
Functional: GGA-PBE
Structure: optimized geometry

```
10
Lattice="6.478 -1.553 0.000 6.478 1.553 0.000 -0.504 0.000 5.752" Properties=species:S:1:pos:R:3 pbc="T T T"
Zn 1.938 0.000 2.097
Zn 10.515 0.000 3.655
Rh 5.442 0.000 0.870
Rh 7.010 0.000 4.882
O -0.125 0.000 1.683
O 1.859 0.000 0.080
O 4.010 0.000 2.400
O 8.442 0.000 3.352
O 10.593 0.000 5.672
O 12.577 0.000 4.069
```

Output
Symmetry: C2/m
DOS at the Fermi energy: 7.03 states/eV/cell
Calculated volume: 115.7 Å³/cell
Uncorrected formation energy: -0.76 eV per atom
Total magnetization: 0.000 μB per atom